Here is an optimized crystal structure of La2AlHg from Alexandria via LeMat-Bulk. Energies are from PBE.

```
La2AlHg
1.0
-0.619 9.646 -1.778
-4.261 8.816 -0.831
-1.659 9.492 1.930
Al Hg La
1 1 2
Cartesian
-1.635 6.989 -0.170 Al
-4.904 20.966 -0.509 Hg
-6.511 27.835 -0.676 La
-3.297 14.096 -0.342 La
```

Calculated values
ρ = 6.816 g cm⁻³
Uncorrected energy = -3.70 eV per atom
E above lowest polymorph = 0.214 eV/atom

Here is an optimized crystal structure of TaReSn2 from Alexandria via LeMat-Bulk. Energies are from PBE.

```
TaReSn2
1.0
-0.494 2.780 2.927
1.130 -2.735 2.789
9.857 2.857 1.774
Re Sn Ta
2 4 2
Cartesian
0.000 0.000 0.000 Re
4.840 2.830 3.779 Re
2.295 2.118 2.629 Sn
3.110 -0.656 2.544 Sn
7.628 2.167 3.466 Sn
7.952 2.174 6.339 Sn
0.318 0.022 2.858 Ta
5.652 0.072 3.710 Ta
```

Calculated values
ρ = 12.131 g cm⁻³
Uncorrected energy = -7.39 eV per atom
E above lowest polymorph = 0.158 eV/atom

Here is an optimized crystal structure of B3Pb6O10F from Alexandria via LeMat-Bulk. Energies are from PBE.

```
B3Pb6O10F
1.0
-5.997 2.192 2.916
-2.623 -10.725 2.668
8.121 1.827 15.328
B Pb O F
12 24 40 4
Cartesian
4.094 -0.933 12.366 B
-4.593 -5.774 8.547 B
3.161 -6.210 14.414 B
-3.660 -0.496 6.498 B
-0.638 2.582 9.876 B
1.437 -3.980 9.716 B
-7.244 -8.988 4.988 B
5.447 -3.026 17.245 B
0.139 -9.288 11.036 B
-1.936 -2.726 11.196 B
6.745 2.281 15.925 B
-5.946 -3.680 3.667 B
-0.684 2.665 13.032 Pb
1.172 -5.336 6.877 Pb
-1.428 -6.383 18.303 Pb
-0.057 -4.358 3.613 Pb
0.185 -9.371 7.880 Pb
-1.671 -1.370 14.036 Pb
0.929 -0.323 2.609 Pb
-0.442 -2.348 17.300 Pb
-1.600 -5.916 10.916 Pb
1.101 -0.790 9.997 Pb
-3.890 -1.364 2.785 Pb
3.391 -5.343 18.127 Pb
2.041 -6.824 10.846 Pb
-2.540 0.118 10.067 Pb
6.440 -0.767 15.338 Pb
-6.939 -5.939 5.574 Pb
0.087 -7.460 14.031 Pb
-1.417 -2.645 7.727 Pb
3.620 1.614 14.475 Pb
-3.287 -4.922 5.592 Pb
-0.586 0.754 6.881 Pb
0.919 -4.061 13.186 Pb
-4.119 -8.320 6.438 Pb
2.788 -1.785 15.320 Pb
0.321 -6.057 12.237 O
-0.820 -0.649 8.675 O
4.252 -0.105 15.847 O
-4.751 -6.601 5.065 O
4.106 -1.282 10.974 O
-4.605 -5.424 9.939 O
4.341 -6.297 15.227 O
-4.840 -0.410 5.686 O
0.790 -9.101 12.263 O
-2.569 -2.839 9.951 O
6.074 2.101 14.708 O
-5.293 -3.574 4.903 O
-1.289 2.394 8.650 O
2.070 -3.867 10.961 O
-6.572 -8.807 6.205 O
4.794 -3.132 16.010 O
-0.879 1.640 10.883 O
1.132 -5.270 9.264 O
0.555 -6.013 19.583 O
-1.806 -3.770 2.095 O
0.380 -8.346 10.030 O
-1.631 -1.437 11.648 O
-1.054 -0.694 1.329 O
1.307 -2.936 18.818 O
-2.412 -7.082 12.768 O
1.117 -2.879 8.954 O
3.166 2.316 17.174 O
-2.869 -5.767 2.929 O
1.913 0.376 8.145 O
-1.616 -3.828 11.958 O
-3.665 -9.022 3.738 O
2.370 -0.939 17.984 O
2.407 -7.352 14.334 O
-3.475 -1.684 7.158 O
4.414 0.369 12.658 O
-4.343 -4.745 7.675 O
-2.906 0.646 6.578 O
2.977 -5.022 13.754 O
-4.913 -7.075 8.255 O
3.844 -1.961 13.237 O
-0.004 -5.278 15.049 F
-0.495 -1.428 5.863 F
1.691 0.171 14.438 F
-2.190 -6.877 6.474 F
```

Calculated values
ρ = 6.947 g cm⁻³
ΔE_f (raw) = -1.755 eV per atom
Uncorrected energy = -6.44 eV per atom